Pr4Sm5Cd after structural relaxation. Source: Alexandria via LeMat-Bulk, functional GGA-PBE.

The structure in POSCAR format:
```
Pr4Sm5Cd
1.0
3.6902 0.0000 0.0000
0.0000 3.6902 0.0000
0.0000 0.0000 24.6419
Pr Sm Cd
4 5 1
Direct
0.0000 0.0000 0.1046 Pr
0.0000 0.0000 0.3139 Pr
0.0000 0.0000 0.6861 Pr
0.0000 0.0000 0.8954 Pr
0.5000 0.5000 0.0000 Sm
0.5000 0.5000 0.2095 Sm
0.5000 0.5000 0.4173 Sm
0.5000 0.5000 0.5827 Sm
0.5000 0.5000 0.7905 Sm
0.0000 0.0000 0.5000 Cd
```

Computed properties:
DOS(E_F) = 12.93 states/eV/cell
density = 7066 kg/m³
formation energy = -0.052 eV/atom
raw total energy = -0.162 Ha/atom
ΔE to the lowest computed polymorph = 0 meV/atom
symmetry = P4/mmm, No. 123